A plane-wave DFT calculation with SCAN was carried out for a crystal of ScTa2Ru relaxed with PBEsol.

Cell lengths 4.5407, 4.5407, 4.5407 Å; angles 60.00, 60.00, 60.00 degrees
Fractional coordinates of all 4 atoms:
Ta (0.2500, 0.2500, 0.2500)
Ta (0.7500, 0.7500, 0.7500)
Ru (0.0000, 0.0000, 0.0000)
Sc (0.5000, 0.5000, 0.5000)

Computed properties:
SG = Fm-3m
energy = -45.585 eV per atom
calculated volume = 16.55 Å³ per atom



A plane-wave DFT calculation with SCAN was carried out for a crystal of ScTaRu2 relaxed with PBEsol.

Cell lengths 3.1344, 4.4497, 4.4497 Å; angles 90.00, 90.00, 90.00 degrees
Fractional coordinates of all 4 atoms:
Sc (0.5000, 0.5000, 0.5000)
Ru (0.0000, 0.5000, 0.0000)
Ru (0.0000, 0.0000, 0.5000)
Ta (0.5000, 0.0000, 0.0000)

Computed properties:
SG = P4/mmm
excess energy over the best structure of this formula in the dataset = 22.6 meV per atom
energy = -38.342 eV per atom
calculated volume = 15.51 Å³ per atom



What is the energy in the first record? -45.585 eV per atom



Look up the energy of the first one. -45.585 eV per atom



What is the calculated volume in the second record? 15.51 Å³ per atom



Which of these has the highest energy? ScTaRu2